Entry 1:
Entry from the Alexandria database: an optimized crystal structure of NdDyPd2 (PBE).

Lattice parameters (Å, degrees): 5.050 5.050 5.050 60.00 60.00 60.00
Fractional positions:
1 Nd 0.000 0.000 0.000
2 Dy 0.500 0.500 0.500
3 Pd 0.250 0.250 0.250
4 Pd 0.750 0.750 0.750

Summary:
symmetry	No. 225
energy above the most stable polymorph in this dataset	0.0574	eV per atom


Entry 2:
Entry from the Alexandria database: an optimized crystal structure of Pr3ZnAg (PBE).

Lattice parameters (Å, degrees): 10.432 10.432 5.321 90.00 90.00 150.50
Fractional positions:
1 Pr 0.064 0.936 0.750
2 Pr 0.249 0.751 0.750
3 Pr 0.433 0.567 0.750
4 Pr 0.567 0.433 0.250
5 Pr 0.751 0.249 0.250
6 Pr 0.936 0.064 0.250
7 Zn 0.155 0.845 0.250
8 Zn 0.845 0.155 0.750
9 Ag 0.341 0.659 0.250
10 Ag 0.659 0.341 0.750

Summary:
symmetry	No. 63
energy above the most stable polymorph in this dataset	0.0000	eV per atom


Which value of energy above the most stable polymorph in this dataset does entry 2 give? 0.0000 eV per atom